--- A ---
Density functional theory data (PBE) for crystalline Mn2AlCl at its relaxed geometry.

Calculated values
**Calculated density**: 4.4 g/cm³
**Crystal system**: tetragonal

```
Mn2AlCl
1.0
4.772 0.000 0.000
0.000 4.772 0.000
0.000 0.000 2.867
Mn Al Cl
2 1 1
Direct
0.000 0.500 0.000
0.500 0.000 0.000
0.000 0.000 0.500
0.500 0.500 0.500
```

=====

--- B ---
Density functional theory data (PBE) for crystalline Mn2AlCl at its relaxed geometry.

Calculated values
**Calculated density**: 4.6 g/cm³
**Crystal system**: cubic

```
Mn2AlCl
1.0
6.305 0.000 0.000
0.000 6.305 0.000
0.000 0.000 6.305
Mn Al Cl
8 4 4
Direct
0.000 0.000 0.000
0.000 0.500 0.500
0.250 0.250 0.250
0.250 0.750 0.750
0.500 0.000 0.500
0.500 0.500 0.000
0.750 0.250 0.750
0.750 0.750 0.250
0.000 0.000 0.500
0.000 0.500 0.000
0.500 0.000 0.000
0.500 0.500 0.500
0.250 0.250 0.750
0.250 0.750 0.250
0.750 0.250 0.250
0.750 0.750 0.750
```

=====

--- C ---
Density functional theory data (PBE) for crystalline Mn2AlCl at its relaxed geometry.

Calculated values
**Calculated density**: 4.2 g/cm³
**Crystal system**: orthorhombic

```
Mn2AlCl
1.0
3.140 0.000 0.000
0.000 3.076 0.000
0.000 0.000 14.036
Mn Al Cl
4 2 2
Direct
0.000 0.000 0.000
0.000 0.000 0.201
0.000 0.500 0.500
0.000 0.500 0.701
0.500 0.000 0.602
0.500 0.500 0.102
0.000 0.000 0.366
0.000 0.500 0.866
```

=====

--- D ---
Density functional theory data (PBE) for crystalline Mn2AlCl at its relaxed geometry.

Calculated values
**Calculated density**: 4.3 g/cm³
**Crystal system**: monoclinic

```
Mn2AlCl
1.0
4.353 0.000 0.000
0.000 2.938 0.000
-0.662 0.000 5.146
Mn Al Cl
2 1 1
Direct
0.000 0.000 0.000
0.000 0.500 0.500
0.500 0.000 0.500
0.500 0.500 0.000
```

=====

Bottom line: C, by a margin of 29.4 kJ/mol of atoms.